(1)
VASP calculation (meta-GGA SCAN) on a PBEsol-optimized structure of RbCr2TcGe.

Cell: 4.6901 4.6901 5.2080 Å, 90.00 90.00 90.00°
Each line ends with the local moment (μB).
Element x y z (fractional)
Cr 0.0000 0.5000 0.0000  3.97
Cr 0.5000 0.0000 0.0000  3.97
Tc 0.5000 0.5000 0.5000  3.18
Ge 0.0000 0.0000 0.5000  -0.14
Rb 0.0000 0.0000 0.0000  0.18

Calculated values
* ΔH_f (0 K): 2.76 eV/atom

=====

(2)
VASP calculation (meta-GGA SCAN) on a PBEsol-optimized structure of La2TcSb.

Cell: 4.2854 4.7689 4.7689 Å, 89.93 90.00 90.00°
Element x y z (fractional)
Tc 0.5000 0.5000 0.5000
La 0.0000 0.0000 0.5000
La 0.0000 0.5000 0.0000
Sb 0.5000 0.0000 0.0000

Calculated values
* raw formation energy: -0.3013 eV/atom

=====

(3)
VASP calculation (meta-GGA SCAN) on a PBEsol-optimized structure of LaZrRe.

Cell: 3.0606 3.0606 7.7875 Å, 96.62 96.62 114.44°
Element x y z (fractional)
La 0.0173 0.0173 0.0346
Zr 0.3083 0.3083 0.6166
Re 0.6744 0.6744 0.3488

Calculated values
* ΔH_f (0 K): 0.30 eV/atom

=====

(4)
VASP calculation (meta-GGA SCAN) on a PBEsol-optimized structure of AlPt2W.

Cell: 2.7780 4.7007 4.8529 Å, 99.29 90.00 107.19°
Element x y z (fractional)
Pt 0.2460 0.4919 0.2518
Pt 0.7540 0.5081 0.7482
W 0.0000 0.0000 0.5000
Al 0.5000 0.0000 0.0000

Calculated values
* ΔH_f (0 K): -0.36 eV/atom

=====

(5)
VASP calculation (meta-GGA SCAN) on a PBEsol-optimized structure of LaCd2Si.

Cell: 4.4703 4.4703 6.0731 Å, 68.41 68.41 60.00°
Element x y z (fractional)
Cd 0.9860 0.9860 0.0420
Cd 0.7270 0.7270 0.8189
Si 0.2769 0.2769 0.1693
La 0.5065 0.5065 0.4805

Calculated values
* raw formation energy: -0.3283 eV/atom

=====

(6)
VASP calculation (meta-GGA SCAN) on a PBEsol-optimized structure of Mn2Be2Al.

Cell: 2.8817 5.7850 5.7850 Å, 90.00 90.00 90.00°
Each line ends with the local moment (μB).
Element x y z (fractional)
Mn 0.5000 0.8273 0.3273  0.61
Mn 0.5000 0.1727 0.6727  0.61
Mn 0.5000 0.3273 0.1727  0.61
Mn 0.5000 0.6727 0.8273  0.61
Be 0.0000 0.8790 0.6210  -0.04
Be 0.0000 0.1210 0.3790  -0.04
Be 0.0000 0.6210 0.1210  -0.04
Be 0.0000 0.3790 0.8790  -0.04
Al 0.0000 0.0000 0.0000  -0.03
Al 0.0000 0.5000 0.5000  -0.03

Calculated values
* ΔH_f (0 K): -0.19 eV/atom